Ce2Y5Er4: relaxed, PBE.

Geometry as CIF:
```
data_Ce2Y5Er4
_chemical_formula_sum 'Ce4 Y10 Er8'
_cell_length_a 17.4451
_cell_length_b 3.4704
_cell_length_c 11.5433
_cell_angle_alpha 90.00
_cell_angle_beta 94.18
_cell_angle_gamma 90.00
_space_group_name_H-M_alt 'C 1 2/m 1'
_space_group_IT_number 12
_space_group_name_Hall '-C 2y'
loop_
_atom_site_label
_atom_site_type_symbol
_atom_site_fract_x
_atom_site_fract_y
_atom_site_fract_z
Ce1 Ce 0.2202 0.0000 0.3578
Y1 Y 0.0000 0.0000 0.0000
Y2 Y 0.0973 0.5000 0.5346
Y3 Y 0.1775 0.5000 0.0708
Er1 Er 0.0336 0.5000 0.2571
Er2 Er 0.1405 0.0000 0.7968
```

As for the total magnetic moment: 1.56 μB/f.u. For the energy relative to the elements, the calculation gives 1.14 eV per formula unit.



ScMo2Rh2: relaxed, PBE.

Geometry as CIF:
```
data_ScMo2Rh2
_chemical_formula_sum 'Sc2 Mo4 Rh4'
_cell_length_a 7.7489
_cell_length_b 7.7489
_cell_length_c 2.7744
_cell_angle_alpha 90.00
_cell_angle_beta 90.00
_cell_angle_gamma 90.00
_space_group_name_H-M_alt 'P 4/m b m'
_space_group_IT_number 127
_space_group_name_Hall '-P 4 2ab'
loop_
_atom_site_label
_atom_site_type_symbol
_atom_site_fract_x
_atom_site_fract_y
_atom_site_fract_z
Sc1 Sc 0.0000 0.0000 0.0000
Mo1 Mo 0.1176 0.3824 0.0000
Rh1 Rh 0.1748 0.6748 0.5000
```

As for the total magnetic moment: 0.34 μB/f.u. For the energy relative to the elements, the calculation gives -0.67 eV per formula unit.



Tb3Ga3Ru2: relaxed, PBE.

Geometry as CIF:
```
data_Tb3Ga3Ru2
_chemical_formula_sum 'Tb12 Ga12 Ru8'
_cell_length_a 4.4415
_cell_length_b 10.2098
_cell_length_c 14.5637
_cell_angle_alpha 90.00
_cell_angle_beta 90.00
_cell_angle_gamma 90.00
_space_group_name_H-M_alt 'C m c m'
_space_group_IT_number 63
_space_group_name_Hall '-C 2c 2'
loop_
_atom_site_label
_atom_site_type_symbol
_atom_site_fract_x
_atom_site_fract_y
_atom_site_fract_z
Tb1 Tb 0.0000 0.0905 0.1079
Tb2 Tb 0.0000 0.3842 0.2500
Ga1 Ga 0.0000 0.3116 0.7500
Ga2 Ga 0.0000 0.3857 0.0444
Ru1 Ru 0.0000 0.2154 0.5848
```

As for the total magnetic moment: 0.00 μB/f.u. For the energy relative to the elements, the calculation gives -4.65 eV per formula unit.



La6PmY12: relaxed, PBE.

Geometry as CIF:
```
data_La6PmY12
_chemical_formula_sum 'La18 Pm3 Y36'
_cell_length_a 13.5125
_cell_length_b 13.5125
_cell_length_c 12.7148
_cell_angle_alpha 90.00
_cell_angle_beta 90.00
_cell_angle_gamma 120.00
_space_group_name_H-M_alt 'R -3 m'
_space_group_IT_number 166
_space_group_name_Hall '-R 3 2"'
loop_
_atom_site_label
_atom_site_type_symbol
_atom_site_fract_x
_atom_site_fract_y
_atom_site_fract_z
La1 La 0.0392 0.5196 0.1158
Pm1 Pm 0.0000 0.0000 0.5000
Y1 Y 0.0000 0.2553 0.0000
Y2 Y 0.0912 0.1823 0.7619
```

As for the total magnetic moment: 0.01 μB/f.u. For the energy relative to the elements, the calculation gives 3.95 eV per formula unit.



DyMnCr2N4: relaxed, PBE.

Geometry as CIF:
```
data_DyMnCr2N4
_chemical_formula_sum 'Dy4 Mn4 Cr8 N16'
_cell_length_a 3.0964
_cell_length_b 10.5129
_cell_length_c 10.1194
_cell_angle_alpha 90.00
_cell_angle_beta 90.00
_cell_angle_gamma 90.00
_space_group_name_H-M_alt 'C m c m'
_space_group_IT_number 63
_space_group_name_Hall '-C 2c 2'
loop_
_atom_site_label
_atom_site_type_symbol
_atom_site_fract_x
_atom_site_fract_y
_atom_site_fract_z
Dy1 Dy 0.0000 0.1116 0.2500
Mn1 Mn 0.0000 0.1516 0.7500
Cr1 Cr 0.0000 0.3702 0.0492
N1 N 0.0000 0.0000 0.0000
N2 N 0.0000 0.2617 0.6108
N3 N 0.0000 0.4466 0.2500
```

The calculation puts the energy relative to the elements, uncorrected at -4.5 eV per formula unit. As for the total magnetic moment: 3.30 μB/f.u.



Tl3CrFe: relaxed, PBE.

Geometry as CIF:
```
data_Tl3CrFe
_chemical_formula_sum 'Tl3 Cr1 Fe1'
_cell_length_a 5.0164
_cell_length_b 5.0164
_cell_length_c 5.0164
_cell_angle_alpha 90.00
_cell_angle_beta 90.00
_cell_angle_gamma 90.00
_space_group_name_H-M_alt 'P m -3 m'
_space_group_IT_number 221
_space_group_name_Hall '-P 4 2 3'
loop_
_atom_site_label
_atom_site_type_symbol
_atom_site_fract_x
_atom_site_fract_y
_atom_site_fract_z
Tl1 Tl 0.0000 0.0000 0.5000
Cr1 Cr 0.5000 0.5000 0.5000
Fe1 Fe 0.0000 0.0000 0.0000
```

As for the total magnetic moment: 1.10 μB/f.u. For the energy relative to the elements, the calculation gives 6.76 eV per formula unit.



Na2Tb2UO6: relaxed, PBE.

Geometry as CIF:
```
data_Na2Tb2UO6
_chemical_formula_sum 'Na4 Tb4 U2 O12'
_cell_length_a 6.0187
_cell_length_b 10.5040
_cell_length_c 5.9434
_cell_angle_alpha 90.00
_cell_angle_beta 108.79
_cell_angle_gamma 90.00
_space_group_name_H-M_alt 'C 1 2/m 1'
_space_group_IT_number 12
_space_group_name_Hall '-C 2y'
loop_
_atom_site_label
_atom_site_type_symbol
_atom_site_fract_x
_atom_site_fract_y
_atom_site_fract_z
Na1 Na 0.0000 0.1715 0.0000
Tb1 Tb 0.0000 0.3344 0.5000
U1 U 0.0000 0.0000 0.5000
O1 O 0.2205 0.1706 0.6999
O2 O 0.2486 0.0000 0.3045
```

The calculation puts the energy relative to the elements, uncorrected at -31.1 eV per formula unit. As for the total magnetic moment: 2.00 μB/f.u.



BiSb3Pb2: relaxed, PBE.

Geometry as CIF:
```
data_BiSb3Pb2
_chemical_formula_sum 'Bi2 Sb6 Pb4'
_cell_length_a 4.5178
_cell_length_b 13.4904
_cell_length_c 6.4078
_cell_angle_alpha 90.00
_cell_angle_beta 90.00
_cell_angle_gamma 90.00
_space_group_name_H-M_alt 'P m m n'
_space_group_IT_number 59
loop_
_space_group_symop_operation_xyz
'x,y,z'
'-x,-y,-z'
'-x+1/2,-y+1/2,z'
'x+1/2,y+1/2,-z'
'x+1/2,-y,-z'
'-x+1/2,y,z'
'-x,y+1/2,-z'
'x,-y+1/2,z'
loop_
_atom_site_label
_atom_site_type_symbol
_atom_site_fract_x
_atom_site_fract_y
_atom_site_fract_z
Bi1 Bi 0.2500 0.2500 0.2374
Sb1 Sb 0.2500 0.2500 0.7621
Sb2 Sb 0.2500 0.5845 0.7402
Pb1 Pb 0.2500 0.5831 0.2469
```

The calculation puts the energy relative to the elements, uncorrected at 0.4 eV per formula unit. As for the total magnetic moment: 0.00 μB/f.u.